[1]
Computed, not measured: Si2PdF after structural relaxation at the PBE level of DFT.

a = 4.2466 Å, b = 4.2466 Å, c = 4.2466 Å
α = 60.00°, β = 60.00°, γ = 60.00°
Fractional coordinates of all 4 atoms:
Si 0.2500 0.2500 0.2500
Si 0.7500 0.7500 0.7500
Pd 0.0000 0.0000 0.0000
F 0.5000 0.5000 0.5000

Its density is 5.6 g cm⁻³. As for the space group: Fm-3m, No. 225. As for the calculated total energy: -0.3611 Ry per atom. As for the energy above the most stable polymorph in this dataset: 0 meV per atom. As for the uncorrected formation energy: -436 meV per atom.


[2]
Computed, not measured: NbBS2Cl after structural relaxation at the PBE level of DFT.

a = 4.8196 Å, b = 4.8196 Å, c = 4.8706 Å
α = 90.00°, β = 90.00°, γ = 90.00°
Fractional coordinates of all 5 atoms:
Nb 0.0000 0.0000 0.0000
B 0.5000 0.5000 0.5000
S 0.0000 0.5000 0.0000
S 0.5000 0.0000 0.0000
Cl 0.0000 0.0000 0.5000

Its density is 3.0 g cm⁻³. As for the space group: P4/mmm, No. 123. As for the calculated total energy: -0.3588 Ry per atom. As for the energy above the most stable polymorph in this dataset: 0 meV per atom. As for the uncorrected formation energy: 488 meV per atom.


[3]
Computed, not measured: Pm3Sn5Pd6 after structural relaxation at the PBE level of DFT.

a = 4.5036 Å, b = 14.0177 Å, c = 9.6341 Å
α = 90.00°, β = 90.00°, γ = 90.00°
Fractional coordinates of all 28 atoms:
Pm 0.2500 0.0729 0.2457
Pm 0.2500 0.4271 0.2457
Pm 0.2500 0.7500 0.2251
Pm 0.7500 0.2500 0.7749
Pm 0.7500 0.5729 0.7543
Pm 0.7500 0.9271 0.7543
Sn 0.2500 0.0782 0.8692
Sn 0.2500 0.4218 0.8692
Sn 0.2500 0.6335 0.5197
Sn 0.2500 0.7500 0.8010
Sn 0.2500 0.8665 0.5197
Sn 0.7500 0.1335 0.4803
Sn 0.7500 0.2500 0.1990
Sn 0.7500 0.3665 0.4803
Sn 0.7500 0.5782 0.1308
Sn 0.7500 0.9218 0.1308
Pd 0.2500 0.0540 0.5915
Pd 0.2500 0.2500 0.0194
Pd 0.2500 0.2500 0.5094
Pd 0.2500 0.4460 0.5915
Pd 0.2500 0.6042 0.9903
Pd 0.2500 0.8958 0.9903
Pd 0.7500 0.1042 0.0097
Pd 0.7500 0.3958 0.0097
Pd 0.7500 0.5540 0.4085
Pd 0.7500 0.7500 0.4906
Pd 0.7500 0.7500 0.9806
Pd 0.7500 0.9460 0.4085

Its density is 9.1 g cm⁻³. As for the space group: Pmmn, No. 59. As for the calculated total energy: -0.4022 Ry per atom. The formation energy is -0.80 eV/atom.


[4]
Computed, not measured: Pr4SnH after structural relaxation at the PBE level of DFT.

a = 6.1412 Å, b = 7.4715 Å, c = 8.2652 Å
α = 107.37°, β = 111.72°, γ = 90.03°
Fractional coordinates of all 12 atoms:
Pr 0.0105 0.4514 0.1952
Pr 0.1856 0.9516 0.1956
Pr 0.2323 0.8493 0.6425
Pr 0.4099 0.3498 0.6434
Pr 0.5901 0.6502 0.3566
Pr 0.7677 0.1507 0.3575
Pr 0.8144 0.0484 0.8044
Pr 0.9895 0.5486 0.8048
Sn 0.3865 0.2494 0.0001
Sn 0.6135 0.7506 0.9999
H 0.0000 0.5000 0.5000
H 0.5000 0.0000 0.5000

Its density is 6.8 g cm⁻³. As for the space group: P-1, No. 2. As for the calculated total energy: -0.3464 Ry per atom.


[5]
Computed, not measured: Al2PtPb after structural relaxation at the PBE level of DFT.

a = 5.3933 Å, b = 5.3933 Å, c = 5.3933 Å
α = 142.12°, β = 119.10°, γ = 74.00°
Fractional coordinates of all 4 atoms:
Al 0.2125 0.2125 0.0000
Al 0.7875 0.7875 0.0000
Pt 0.0000 0.5000 0.5000
Pb 0.5000 0.0000 0.5000

Its density is 9.2 g cm⁻³. As for the space group: Immm, No. 71. As for the calculated total energy: -0.3249 Ry per atom. The formation energy is -0.11 eV/atom.


[6]
Computed, not measured: PWSe2 after structural relaxation at the PBE level of DFT.

a = 5.0118 Å, b = 5.0118 Å, c = 3.4177 Å
α = 90.00°, β = 90.00°, γ = 121.87°
Fractional coordinates of all 4 atoms:
P 0.0000 0.0000 0.0000
W 0.5000 0.5000 0.0000
Se 0.0000 0.5000 0.5000
Se 0.5000 0.0000 0.5000

Its density is 8.5 g cm⁻³. As for the space group: Cmmm, No. 65. As for the calculated total energy: -0.4068 Ry per atom. As for the uncorrected formation energy: 799 meV per atom.


[7]
Computed, not measured: Mg2ScTiNi after structural relaxation at the PBE level of DFT.

a = 5.1660 Å, b = 5.1660 Å, c = 4.2290 Å
α = 90.00°, β = 90.00°, γ = 90.00°
Fractional coordinates of all 5 atoms:
Mg 0.0000 0.5000 0.0000
Mg 0.5000 0.0000 0.0000
Sc 0.0000 0.0000 0.0000
Ti 0.5000 0.5000 0.5000
Ni 0.0000 0.0000 0.5000

Its density is 2.9 g cm⁻³. As for the space group: P4/mmm, No. 123. As for the calculated total energy: -0.2650 Ry per atom. The formation energy is 1.03 eV/atom. As for the energy above the most stable polymorph in this dataset: 0 meV per atom.


[8]
Computed, not measured: SrCu2Au after structural relaxation at the PBE level of DFT.

a = 4.4469 Å, b = 4.4469 Å, c = 5.7305 Å
α = 112.75°, β = 112.75°, γ = 59.97°
Fractional coordinates of all 4 atoms:
Sr 0.0000 0.0000 0.0000
Cu 0.1937 0.1937 0.5814
Cu 0.8063 0.8063 0.4186
Au 0.5000 0.5000 0.5000

Its density is 7.8 g cm⁻³. As for the space group: C2/m, No. 12. As for the calculated total energy: -0.2607 Ry per atom. The formation energy is -0.26 eV/atom. As for the energy above the most stable polymorph in this dataset: 0 meV per atom.


[9]
Computed, not measured: LaMg11Al after structural relaxation at the PBE level of DFT.

a = 7.8486 Å, b = 7.8486 Å, c = 7.7173 Å
α = 98.04°, β = 98.04°, γ = 135.83°
Fractional coordinates of all 13 atoms:
La 0.0000 0.0000 0.0000
Mg 0.0000 0.0000 0.5000
Mg 0.0000 0.5000 0.0000
Mg 0.0047 0.3526 0.3555
Mg 0.2889 0.5005 0.7826
Mg 0.3526 0.0047 0.3555
Mg 0.4995 0.7111 0.2174
Mg 0.5000 0.0000 0.0000
Mg 0.5005 0.2889 0.7826
Mg 0.6474 0.9953 0.6444
Mg 0.7111 0.4995 0.2174
Mg 0.9953 0.6474 0.6444
Al 0.5000 0.5000 0.5000

Its density is 2.3 g cm⁻³. As for the space group: C2/m, No. 12. As for the calculated total energy: -0.1537 Ry per atom. The formation energy is -0.07 eV/atom.


[10]
Computed, not measured: CsCu after structural relaxation at the PBE level of DFT.

a = 5.1459 Å, b = 5.1459 Å, c = 5.1459 Å
α = 60.00°, β = 60.00°, γ = 60.00°
Fractional coordinates of all 2 atoms:
Cs 0.0000 0.0000 0.0000
Cu 0.5000 0.5000 0.5000

Its density is 3.4 g cm⁻³. As for the space group: Fm-3m, No. 225. As for the calculated total energy: -0.1461 Ry per atom. The formation energy is 0.49 eV/atom.


[11]
Computed, not measured: Sm2PaRh3 after structural relaxation at the PBE level of DFT.

a = 8.4321 Å, b = 8.4321 Å, c = 8.4321 Å
α = 154.83°, β = 148.88°, γ = 40.43°
Fractional coordinates of all 6 atoms:
Sm 0.1760 0.1760 0.0000
Sm 0.8240 0.8240 0.0000
Pa 0.5000 0.0000 0.5000
Rh 0.0000 0.5000 0.5000
Rh 0.3708 0.3708 0.0000
Rh 0.6292 0.6292 0.0000

Its density is 10.6 g cm⁻³. As for the space group: Immm, No. 71. As for the calculated total energy: -0.5631 Ry per atom. The formation energy is -0.83 eV/atom. As for the energy above the most stable polymorph in this dataset: 0 meV per atom.


[12]
Computed, not measured: AcVSe2 after structural relaxation at the PBE level of DFT.

a = 8.9321 Å, b = 8.9321 Å, c = 8.9321 Å
α = 25.57°, β = 25.57°, γ = 25.57°
Fractional coordinates of all 4 atoms:
Ac 0.0000 0.0000 0.0000
V 0.5000 0.5000 0.5000
Se 0.1161 0.1161 0.1161
Se 0.8839 0.8839 0.8839

Its density is 6.2 g cm⁻³. As for the space group: R-3m, No. 166. As for the calculated total energy: -0.4188 Ry per atom. As for the energy above the most stable polymorph in this dataset: 30 meV per atom. As for the uncorrected formation energy: -650 meV per atom.


[13]
Computed, not measured: Hf2ScNiP after structural relaxation at the PBE level of DFT.

a = 4.7407 Å, b = 4.7407 Å, c = 4.7561 Å
α = 90.00°, β = 90.00°, γ = 90.00°
Fractional coordinates of all 5 atoms:
Hf 0.0000 0.5000 0.0000
Hf 0.5000 0.0000 0.0000
Sc 0.0000 0.0000 0.5000
Ni 0.0000 0.0000 0.0000
P 0.5000 0.5000 0.5000

Its density is 7.6 g cm⁻³. As for the space group: P4/mmm, No. 123. As for the calculated total energy: -0.5450 Ry per atom. The formation energy is 0.07 eV/atom. As for the energy above the most stable polymorph in this dataset: 0 meV per atom.


[14]
Computed, not measured: Sr2MnPb after structural relaxation at the PBE level of DFT.

a = 5.5633 Å, b = 5.5633 Å, c = 5.5633 Å
α = 60.00°, β = 60.00°, γ = 60.00°
Fractional coordinates of all 4 atoms:
Sr 0.0000 0.0000 0.0000
Sr 0.2500 0.2500 0.2500
Mn 0.5000 0.5000 0.5000
Pb 0.7500 0.7500 0.7500

Its density is 6.0 g cm⁻³. As for the space group: F-43m, No. 216. As for the calculated total energy: -0.2824 Ry per atom. The formation energy is 0.22 eV/atom.


[15]
Computed, not measured: Ga4SnHg after structural relaxation at the PBE level of DFT.

a = 5.7128 Å, b = 5.7128 Å, c = 5.7128 Å
α = 60.00°, β = 60.00°, γ = 60.00°
Fractional coordinates of all 6 atoms:
Ga 0.1252 0.1252 0.1252
Ga 0.1252 0.1252 0.6244
Ga 0.1252 0.6244 0.1252
Ga 0.6244 0.1252 0.1252
Sn 0.7500 0.7500 0.7500
Hg 0.5000 0.5000 0.5000

Its density is 7.5 g cm⁻³. As for the space group: F-43m, No. 216. As for the calculated total energy: -0.1944 Ry per atom. The formation energy is 0.09 eV/atom. As for the energy above the most stable polymorph in this dataset: 31 meV per atom.


[16]
Computed, not measured: AcGe12Pt6 after structural relaxation at the PBE level of DFT.

a = 7.6621 Å, b = 7.6621 Å, c = 7.6621 Å
α = 106.88°, β = 106.88°, γ = 106.88°
Fractional coordinates of all 19 atoms:
Ac 0.0000 0.0000 0.0000
Ge 0.1114 0.5000 0.8886
Ge 0.1114 0.8886 0.5000
Ge 0.1621 0.4389 0.4389
Ge 0.4389 0.1621 0.4389
Ge 0.4389 0.4389 0.1621
Ge 0.5000 0.1114 0.8886
Ge 0.5000 0.8886 0.1114
Ge 0.5611 0.5611 0.8379
Ge 0.5611 0.8379 0.5611
Ge 0.8379 0.5611 0.5611
Ge 0.8886 0.1114 0.5000
Ge 0.8886 0.5000 0.1114
Pt 0.2351 0.7487 0.7487
Pt 0.2513 0.2513 0.7649
Pt 0.2513 0.7649 0.2513
Pt 0.7487 0.2351 0.7487
Pt 0.7487 0.7487 0.2351
Pt 0.7649 0.2513 0.2513

Its density is 10.0 g cm⁻³. As for the space group: R-3m, No. 166. As for the calculated total energy: -0.3914 Ry per atom. The formation energy is -0.29 eV/atom.


[17]
Computed, not measured: ReAg2Ru after structural relaxation at the PBE level of DFT.

a = 3.7398 Å, b = 3.7398 Å, c = 4.5559 Å
α = 90.00°, β = 90.00°, γ = 90.00°
Fractional coordinates of all 4 atoms:
Re 0.0000 0.0000 0.0000
Ag 0.0000 0.5000 0.5000
Ag 0.5000 0.0000 0.5000
Ru 0.5000 0.5000 0.0000

Its density is 13.1 g cm⁻³. As for the space group: P4/mmm, No. 123. As for the calculated total energy: -0.4491 Ry per atom. The formation energy is 0.75 eV/atom. As for the energy above the most stable polymorph in this dataset: 498 meV per atom.


[18]
Computed, not measured: LaAgMoPt after structural relaxation at the PBE level of DFT.

a = 5.7826 Å, b = 5.7826 Å, c = 5.7826 Å
α = 47.57°, β = 47.57°, γ = 47.57°
Fractional coordinates of all 4 atoms:
La 0.0000 0.0000 0.0000
Ag 0.5206 0.5206 0.5206
Mo 0.8238 0.8238 0.8238
Pt 0.1876 0.1876 0.1876

Its density is 9.3 g cm⁻³. As for the space group: R3m, No. 160. As for the calculated total energy: -0.4532 Ry per atom. The formation energy is 0.00 eV/atom. As for the energy above the most stable polymorph in this dataset: 107 meV per atom.


[19]
Computed, not measured: PuMn4Ru after structural relaxation at the PBE level of DFT.

a = 4.8620 Å, b = 4.8620 Å, c = 4.8620 Å
α = 60.00°, β = 60.00°, γ = 60.00°
Fractional coordinates of all 6 atoms:
Pu 0.0000 0.0000 0.0000
Mn 0.1270 0.6243 0.6243
Mn 0.6243 0.1270 0.6243
Mn 0.6243 0.6243 0.1270
Mn 0.6243 0.6243 0.6243
Ru 0.2500 0.2500 0.2500

Its density is 11.5 g cm⁻³. As for the space group: F-43m, No. 216. As for the calculated total energy: -0.7207 Ry per atom. The formation energy is 0.24 eV/atom.


[20]
Computed, not measured: CsPrMnCl6 after structural relaxation at the PBE level of DFT.

a = 9.8038 Å, b = 9.8038 Å, c = 9.8038 Å
α = 122.35°, β = 117.91°, γ = 89.81°
Fractional coordinates of all 18 atoms:
Cs 0.2898 0.0398 0.2500
Cs 0.7102 0.9602 0.7500
Pr 0.0000 0.5000 0.5000
Pr 0.5000 0.5000 0.0000
Mn 0.0000 0.0000 0.5000
Mn 0.0000 0.5000 0.0000
Cl 0.0414 0.7914 0.2500
Cl 0.0517 0.3970 0.2095
Cl 0.0517 0.8422 0.6547
Cl 0.3125 0.1578 0.7095
Cl 0.3125 0.6030 0.1547
Cl 0.3373 0.5873 0.7500
Cl 0.6627 0.4127 0.2500
Cl 0.6875 0.3970 0.8453
Cl 0.6875 0.8422 0.2905
Cl 0.9483 0.1578 0.3453
Cl 0.9483 0.6030 0.7905
Cl 0.9586 0.2086 0.7500

Its density is 2.7 g cm⁻³. As for the space group: Imma, No. 74. As for the calculated total energy: -0.3433 Ry per atom. As for the uncorrected formation energy: -1796 meV per atom.


[21]
Computed, not measured: CeThCrN3 after structural relaxation at the PBE level of DFT.

a = 7.1381 Å, b = 3.4102 Å, c = 7.6982 Å
α = 90.00°, β = 97.17°, γ = 90.00°
Fractional coordinates of all 12 atoms:
Ce 0.1881 0.2500 0.1668
Ce 0.8119 0.7500 0.8332
Th 0.1934 0.2500 0.6372
Th 0.8066 0.7500 0.3628
Cr 0.4190 0.7500 0.9177
Cr 0.5810 0.2500 0.0823
N 0.1391 0.7500 0.4013
N 0.1530 0.7500 0.8746
N 0.4635 0.7500 0.1653
N 0.5365 0.2500 0.8347
N 0.8470 0.2500 0.1254
N 0.8609 0.2500 0.5987

Its density is 8.3 g cm⁻³. As for the space group: P2_1/m, No. 11. As for the calculated total energy: -0.6701 Ry per atom. As for the uncorrected formation energy: -1125 meV per atom.


[22]
Computed, not measured: SmYZnSi after structural relaxation at the PBE level of DFT.

a = 5.0372 Å, b = 5.0372 Å, c = 5.0372 Å
α = 60.00°, β = 60.00°, γ = 60.00°
Fractional coordinates of all 4 atoms:
Sm 0.0000 0.0000 0.0000
Y 0.5000 0.5000 0.5000
Zn 0.2500 0.2500 0.2500
Si 0.7500 0.7500 0.7500

Its density is 6.1 g cm⁻³. As for the space group: F-43m, No. 216. As for the calculated total energy: -0.3625 Ry per atom. As for the energy above the most stable polymorph in this dataset: 104 meV per atom. As for the uncorrected formation energy: -461 meV per atom.


[23]
Computed, not measured: Pm5PuRh6 after structural relaxation at the PBE level of DFT.

a = 8.5820 Å, b = 8.5820 Å, c = 4.9374 Å
α = 106.67°, β = 106.67°, γ = 48.41°
Fractional coordinates of all 12 atoms:
Pm 0.0000 0.0000 0.0000
Pm 0.1665 0.1665 0.6666
Pm 0.3334 0.3334 0.3333
Pm 0.6666 0.6666 0.6667
Pm 0.8335 0.8335 0.3334
Pu 0.5000 0.5000 0.0000
Rh 0.0910 0.5826 0.8366
Rh 0.2590 0.7410 0.5000
Rh 0.4174 0.9090 0.1634
Rh 0.5826 0.0910 0.8366
Rh 0.7410 0.2590 0.5000
Rh 0.9090 0.4174 0.1634

Its density is 10.2 g cm⁻³. As for the space group: C2/m, No. 12. As for the calculated total energy: -0.5494 Ry per atom. The formation energy is -0.63 eV/atom.